Entry from Alexandria via LeMat-Bulk: an optimized crystal structure of Na2TmCrF8 (PBE with a Hubbard U).

Unit cell a=5.134 b=5.111 c=6.622 alpha=90.01 beta=89.99 gamma=91.85
Each line ends with the local moment (μB).
Fractional positions:
Na1 0.500 0.500 0.762  0.00
Na2 0.500 0.500 0.238  0.00
Tm1 0.000 0.000 0.500  0.00
Cr1 0.000 0.000 0.000  2.94
F1 0.174 0.823 0.230  -0.01
F2 0.730 0.733 0.000  0.01
F3 0.826 0.177 0.230  -0.01
F4 0.826 0.177 0.770  -0.01
F5 0.270 0.267 0.000  0.01
F6 0.174 0.823 0.770  -0.01
F7 0.705 0.707 0.500  0.00
F8 0.295 0.293 0.500  0.00

Summary:
volume = 173.7 Å³/f.u.
E = -5.6837 eV per atom
spin magnetization = 3.00 μB/f.u.